## NaHoTh (PBE)

Data for an optimized crystal structure of NaHoTh.

```
data_NaHoTh
_chemical_formula_sum 'Na1 Ho1 Th1'
_symmetry_space_group_name_H-M 'P 1'
_symmetry_Int_Tables_number 1
_cell_length_a 3.517
_cell_length_b 3.517
_cell_length_c 9.264
_cell_angle_alpha 90.00
_cell_angle_beta 90.00
_cell_angle_gamma 120.00
loop_
_symmetry_equiv_pos_as_xyz
'x,y,z'
loop_
_atom_site_label
_atom_site_fract_x
_atom_site_fract_y
_atom_site_fract_z
Th1 0.667 0.333 0.352
Na1 0.000 0.000 0.996
Ho1 0.333 0.667 0.652
```

Properties
Its symmetry is P3m1 (156). The calculation puts the relative energy among the computed polymorphs at 0.0 meV per atom. Its calculated density is 7.03 g/cm³. Its total magnetization is 0.000 μB per formula unit. The energy of formation comes out at 0.17 eV per atom.